Here is crystalline RbIn3Re at its relaxed geometry from Alexandria via LeMat-Bulk. Energies are from PBE.

Properties
Distance to the lowest polymorph of the same formula: 2.050 eV/atom
Total magnetic moment: 3.5 μB per formula unit
ρ: 4.570 Mg/m³
DOS(E_F): 6.26 states/eV/cell
Raw total energy: -2.1276 eV per atom

abc: 6.072 6.072 6.072
angles: 90.00 90.00 90.00
Space group Pm-3m (No. 221)
Symmetry-distinct sites (fractional):
Rb: 0.000 0.000 0.000 x1
In: 0.000 0.000 0.500 x3
Re: 0.500 0.500 0.500 x1